Record 1
Density functional theory data (PBE) for an optimized crystal structure of Pr4SmHoEr2.

Computed properties:
energy of formation = 24 meV/atom
raw total energy = -4.6682 eV/atom
symmetry = No. 10
DOS(E_F) = 9.445 states/eV/f.u.

Cell lengths 5.2213, 5.2766, 10.9055 Å; angles 62.18, 90.00, 90.00 degrees
Last column: nearest neighbours and their distance in Å.
Sites, in units of the cell vectors:
Pr 0.0000 0.7513 0.7485  2 Ho 3.53-3.60, 4 Er 3.54-3.62, 2 Sm 3.56, 4 Pr 3.71
Pr 0.0000 0.2487 0.2515  2 Ho 3.53-3.60, 4 Er 3.54-3.62, 2 Sm 3.56, 4 Pr 3.71
Pr 0.5000 0.7474 0.2525  4 Er 3.52-3.59, 2 Ho 3.54, 2 Sm 3.56-3.63, 4 Pr 3.71
Pr 0.5000 0.2526 0.7475  4 Er 3.52-3.59, 2 Ho 3.54, 2 Sm 3.56-3.63, 4 Pr 3.71
Sm 0.5000 0.5000 0.0000  8 Pr 3.56-3.63, 4 Er 3.71
Ho 0.0000 0.5000 0.5000  8 Pr 3.53-3.60, 4 Er 3.71
Er 0.0000 0.0000 0.0000  8 Pr 3.55-3.62, 4 Sm 3.71
Er 0.5000 0.0000 0.5000  8 Pr 3.52-3.59, 4 Ho 3.71



Record 2
Density functional theory data (PBE) for an optimized crystal structure of LiCa2Sn2Rh5.

Computed properties:
energy of formation = -326 meV/atom
raw total energy = -5.3939 eV/atom
symmetry = No. 127
DOS(E_F) = 5.137 states/eV/f.u.

Cell lengths 3.4036, 10.4423, 10.4423 Å; angles 90.00, 90.00, 90.00 degrees
Last column: nearest neighbours and their distance in Å.
Sites, in units of the cell vectors:
Li 0.0000 0.0000 0.0000  8 Rh 2.66
Li 0.0000 0.5000 0.5000  8 Rh 2.66
Ca 0.0000 0.6659 0.1659  3 Sn 2.91-3.17, 2 Rh 2.98
Ca 0.0000 0.3341 0.8341  3 Sn 2.91-3.17, 2 Rh 2.98
Ca 0.0000 0.1659 0.3341  3 Sn 2.91-3.17, 2 Rh 2.98
Ca 0.0000 0.8341 0.6659  3 Sn 2.91-3.17, 2 Rh 2.98
Sn 0.0000 0.1367 0.6367  6 Rh 2.64, 1 Ca 2.91
Sn 0.0000 0.8633 0.3633  6 Rh 2.64, 1 Ca 2.91
Sn 0.0000 0.6367 0.8633  6 Rh 2.64, 1 Ca 2.91
Sn 0.0000 0.3633 0.1367  6 Rh 2.64, 1 Ca 2.91
Rh 0.5000 0.1860 0.0612  2 Sn 2.64, 2 Li 2.66, 2 Rh 2.89
Rh 0.5000 0.8140 0.9388  2 Sn 2.64, 2 Li 2.66, 2 Rh 2.89
Rh 0.5000 0.0612 0.8140  2 Sn 2.64, 2 Li 2.66, 2 Rh 2.89
Rh 0.5000 0.6860 0.4388  2 Sn 2.64, 2 Li 2.66, 2 Rh 2.89
Rh 0.5000 0.9388 0.1860  2 Sn 2.64, 2 Li 2.66, 2 Rh 2.89
Rh 0.5000 0.3140 0.5612  2 Sn 2.64, 2 Li 2.66, 2 Rh 2.89
Rh 0.5000 0.5612 0.6860  2 Sn 2.64, 2 Li 2.66, 2 Rh 2.89
Rh 0.5000 0.4388 0.3140  2 Sn 2.64, 2 Li 2.66, 2 Rh 2.89
Rh 0.5000 0.5000 0.0000  4 Sn 2.64
Rh 0.5000 0.0000 0.5000  4 Sn 2.64



Record 3
Density functional theory data (PBE) for an optimized crystal structure of RbTiGa.

Computed properties:
energy of formation = 315 meV/atom
raw total energy = -3.6480 eV/atom
symmetry = No. 129
DOS(E_F) = 2.538 states/eV/f.u.

Cell lengths 5.0244, 5.0244, 8.5924 Å; angles 90.00, 90.00, 90.00 degrees
Last column: nearest neighbours and their distance in Å.
Sites, in units of the cell vectors:
Ga 0.0000 0.0000 0.5000  4 Ti 2.59
Ga 0.5000 0.5000 0.5000  4 Ti 2.59
Rb 0.0000 0.5000 0.1640  1 Ti 3.50, 4 Ga 3.83
Rb 0.5000 0.0000 0.8360  1 Ti 3.50, 4 Ga 3.83
Ti 0.0000 0.5000 0.5713  4 Ga 2.59
Ti 0.5000 0.0000 0.4287  4 Ga 2.59



Record 4
Density functional theory data (PBE) for an optimized crystal structure of PrSc2Se3.

Computed properties:
raw total energy = -5.8814 eV/atom
energy relative to the elements, uncorrected = -7.4 eV per formula unit
symmetry = No. 63
DOS(E_F) = 1.715 states/eV/f.u.

Cell lengths 5.7670, 8.1455, 8.1455 Å; angles 103.23, 90.00, 90.00 degrees
Last column: nearest neighbours and their distance in Å.
Sites, in units of the cell vectors:
Pr 0.2500 0.4043 0.5957  6 Se 3.08-3.30
Pr 0.7500 0.5957 0.4043  6 Se 3.08-3.30
Sc 0.0000 0.1773 0.1773  4 Se 2.62-2.66, 2 Sc 2.88
Sc 0.5000 0.1773 0.1773  4 Se 2.62-2.66, 2 Sc 2.88
Sc 0.0000 0.8227 0.8227  4 Se 2.62-2.66, 2 Sc 2.88
Sc 0.5000 0.8227 0.8227  4 Se 2.62-2.66, 2 Sc 2.88
Se 0.7500 0.1053 0.8947  4 Sc 2.66
Se 0.7500 0.2312 0.4523  2 Sc 2.62
Se 0.2500 0.4523 0.2312  2 Sc 2.62
Se 0.7500 0.5477 0.7688  2 Sc 2.62
Se 0.2500 0.7688 0.5477  2 Sc 2.62
Se 0.2500 0.8947 0.1053  4 Sc 2.66